1.
## Mg2BeAs (PBE)

Data for Mg2BeAs after structural relaxation.

The space group is P4/mmm (No. 123) and the conventional cell measures 3.106, 3.106 and 7.169 Å, with angles of 90.00, 90.00 and 90.00 degrees. The inequivalent atoms are Mg at (0.000, 0.000, 0.229), Be at (0.500, 0.500, 0.000) and As at (0.500, 0.500, 0.500).

The offset from the most stable computed form comes out at 1.17 eV/f.u.

2.
## Hf2CrPbW (PBE)

Data for Hf2CrPbW after structural relaxation.

The space group is P4/mmm (No. 123) and the conventional cell measures 4.941, 4.941 and 4.445 Å, with angles of 90.00, 90.00 and 90.00 degrees. The inequivalent atoms are Hf at (0.000, 0.500, 0.000), Cr at (0.000, 0.000, 0.000), Pb at (0.500, 0.500, 0.500) and W at (0.000, 0.000, 0.500).

3.
## NbTe4Au (PBE)

Data for NbTe4Au after structural relaxation.

The space group is P2_1/c (No. 14) and the conventional cell measures 6.819, 6.955 and 6.950 Å, with angles of 90.00, 90.25 and 90.00 degrees. The inequivalent atoms are Nb at (0.000, 0.000, 0.000), Te at (0.109, 0.138, 0.360), Te at (0.369, 0.620, 0.386) and Au at (0.500, 0.000, 0.500).

The offset from the most stable computed form comes out at 0.00 eV/f.u. For the formation energy without anion corrections, the calculation gives -0.137 eV/atom.

4.
## Tb3Pm6SmY2 (PBE)

Data for Tb3Pm6SmY2 after structural relaxation.

The space group is C2/m (No. 12) and the conventional cell measures 6.269, 10.856 and 11.930 Å, with angles of 90.00, 100.06 and 90.00 degrees. The inequivalent atoms are Tb at (0.000, 0.000, 0.000), Tb at (0.000, 0.333, 0.000), Pm at (0.249, 0.500, 0.249), Pm at (0.250, 0.167, 0.249), Sm at (0.000, 0.500, 0.500) and Y at (0.000, 0.167, 0.500).

5.
## Na3ZrS4 (PBE)

Data for Na3ZrS4 after structural relaxation.

The space group is Cmmm (No. 65) and the conventional cell measures 8.220, 11.209 and 3.805 Å, with angles of 90.00, 90.00 and 90.00 degrees. The inequivalent atoms are Na at (0.000, 0.000, 0.000), Na at (0.250, 0.250, 0.500), Zr at (0.000, 0.500, 0.000), S at (0.000, 0.272, 0.000) and S at (0.218, 0.500, 0.500).

For the formation energy without anion corrections, the calculation gives -1.162 eV/atom.

6.
## Cu2PbI (PBE)

Data for Cu2PbI after structural relaxation.

The space group is I-42d (No. 122) and the conventional cell measures 6.703, 6.703 and 9.680 Å, with angles of 90.00, 90.00 and 90.00 degrees. The inequivalent atoms are Cu at (0.245, 0.250, 0.125), Pb at (0.000, 0.000, 0.500) and I at (0.000, 0.000, 0.000).

The offset from the most stable computed form comes out at 0.00 eV/f.u. For the formation energy without anion corrections, the calculation gives 0.303 eV/atom.

7.
## TbTePd6 (PBE)

Data for TbTePd6 after structural relaxation.

The space group is P4/mmm (No. 123) and the conventional cell measures 4.109, 4.109 and 8.217 Å, with angles of 90.00, 90.00 and 90.00 degrees. The inequivalent atoms are Tb at (0.000, 0.000, 0.000), Te at (0.000, 0.000, 0.500), Pd at (0.000, 0.500, 0.254), Pd at (0.500, 0.500, 0.000) and Pd at (0.500, 0.500, 0.500).

For the formation energy without anion corrections, the calculation gives -0.522 eV/atom.

8.
## Ni3As4 (PBE)

Data for Ni3As4 after structural relaxation.

The space group is P6/mmm (No. 191) and the conventional cell measures 4.8610, 4.8610 and 5.2479 Å, with angles of 90.00, 90.00 and 120.00 degrees. The inequivalent atoms are Ni at (0.0000, 0.5000, 0.0000), As at (0.0000, 0.0000, 0.2337) and As at (0.3333, 0.6667, 0.5000).

The offset from the most stable computed form comes out at 2.72 eV/f.u.

9.
## CrTcP (PBE)

Data for CrTcP after structural relaxation.

The space group is Ima2 (No. 46) and the conventional cell measures 7.156, 10.553 and 6.009 Å, with angles of 90.00, 90.00 and 90.00 degrees. The inequivalent atoms are Cr at (0.000, 0.000, 0.000), Cr at (0.039, 0.129, 0.364), Tc at (0.250, 0.173, 0.015), Tc at (0.250, 0.523, 0.164), Tc at (0.250, 0.711, 0.543), P at (0.006, 0.166, 0.734) and P at (0.250, 0.529, 0.763).

The offset from the most stable computed form comes out at 0.07 eV/f.u.

10.
## NdEr2TmS6 (PBE)

Data for NdEr2TmS6 after structural relaxation.

The space group is R3 (No. 146, hexagonal axes) and the conventional cell measures 6.9244, 6.9244 and 18.4648 Å, with angles of 90.00, 90.00 and 120.00 degrees. The inequivalent atoms are Nd at (0.0000, 0.0000, 0.0000), Er at (0.0000, 0.0000, 0.2919), Er at (0.0000, 0.0000, 0.7962), Tm at (0.0000, 0.0000, 0.4929), S at (0.0016, 0.3069, 0.8917) and S at (0.0220, 0.7177, 0.3928).

For the formation energy without anion corrections, the calculation gives -2.046 eV/atom.

11.
## BAsIrSe2 (PBE)

Data for BAsIrSe2 after structural relaxation.

The space group is P4/mmm (No. 123) and the conventional cell measures 4.344, 4.344 and 4.221 Å, with angles of 90.00, 90.00 and 90.00 degrees. The inequivalent atoms are B at (0.000, 0.000, 0.000), As at (0.000, 0.000, 0.500), Ir at (0.500, 0.500, 0.500) and Se at (0.000, 0.500, 0.000).

The offset from the most stable computed form comes out at 0.00 eV/f.u. For the formation energy without anion corrections, the calculation gives 0.959 eV/atom.

12.
## Rb2BaTcO6 (PBE)

Data for Rb2BaTcO6 after structural relaxation.

The space group is R-3m (No. 166, hexagonal axes) and the conventional cell measures 6.7086, 6.7086 and 32.3117 Å, with angles of 90.00, 90.00 and 120.00 degrees. The inequivalent atoms are Rb at (0.0000, 0.0000, 0.1353), Rb at (0.0000, 0.0000, 0.2576), Ba at (0.0000, 0.0000, 0.3971), Tc at (0.0000, 0.0000, 0.0000), Tc at (0.0000, 0.0000, 0.5000), O at (0.0654, 0.5327, 0.1323) and O at (0.0714, 0.5357, 0.7010).

For the formation energy without anion corrections, the calculation gives -1.542 eV/atom.

Number 1: uncorrected energy -2.776 eV/atom, N(E_F) 1.00 states/eV per cell, volume 17.29 Å³/atom. Number 2: uncorrected energy -8.499 eV/atom, N(E_F) 6.54 states/eV per cell, volume 21.70 Å³/atom. Number 3: uncorrected energy -4.456 eV/atom, N(E_F) 7.72 states/eV per cell, volume 27.47 Å³/atom. Number 4: uncorrected energy -4.992 eV/atom, N(E_F) 30.11 states/eV per cell, volume 33.31 Å³/atom. Number 5: uncorrected energy -4.789 eV/atom, N(E_F) 16.39 states/eV per cell, volume 21.91 Å³/atom. Number 6: uncorrected energy -3.060 eV/atom, N(E_F) 2.53 states/eV per cell, volume 27.18 Å³/atom. Number 7: uncorrected energy -5.388 eV/atom, N(E_F) 4.47 states/eV per cell, volume 17.34 Å³/atom. Number 8: uncorrected energy -4.865 eV/atom, N(E_F) 5.01 states/eV per cell, volume 15.34 Å³/atom. Number 9: uncorrected energy -8.845 eV/atom, N(E_F) 31.15 states/eV per cell, volume 12.61 Å³/atom. Number 10: uncorrected energy -6.359 eV/atom, N(E_F) 0.00 states/eV per cell, volume 25.56 Å³/atom. Number 11: uncorrected energy -4.472 eV/atom, N(E_F) 2.93 states/eV per cell, volume 15.93 Å³/atom. Number 12: uncorrected energy -5.940 eV/atom, N(E_F) 47.48 states/eV per cell, volume 20.99 Å³/atom.